Record 1
VASP calculation (meta-GGA SCAN) on CsSr2Tl2 at its PBEsol-relaxed geometry.

a b c (Å): 6.1202 6.1202 7.7501
angles (deg): 113.26 113.26 90.00
Last column: nearest neighbours and their distance in Å.
Fractional coordinates of all 5 atoms:
Cs 0.0000 0.0000 0.0000  10 Sr 4.41-4.77, 8 Tl 4.44
Sr 0.3431 0.3431 0.6862  4 Tl 3.29
Sr 0.6569 0.6569 0.3138  4 Tl 3.29
Tl 0.2500 0.7500 0.5000  4 Sr 3.29
Tl 0.7500 0.2500 0.5000  4 Sr 3.29

Properties
N(E_F) ... 6.12 states/eV/f.u.
Total magnetic moment ... 0.000 μB per atom
ΔE to the lowest computed polymorph ... 173 meV per atom
Calculated formation energy ... -0.135 eV/atom



Record 2
VASP calculation (meta-GGA SCAN) on NiPb2Se at its PBEsol-relaxed geometry.

a b c (Å): 3.4671 3.4674 7.0457
angles (deg): 90.00 89.96 90.00
Last column: nearest neighbours and their distance in Å.
Fractional coordinates of all 4 atoms:
Ni 0.5000 0.5000 0.5000  8 Pb 2.92-2.93
Pb 0.0013 0.0000 0.7260  4 Ni 2.92-2.93, 4 Se 3.12, 1 Pb 3.18
Pb 0.9987 0.0000 0.2740  4 Ni 2.92-2.93, 4 Se 3.12, 1 Pb 3.18
Se 0.5000 0.5000 0.0000  8 Pb 3.12, 4 Se 3.47

Properties
N(E_F) ... 1.75 states/eV/f.u.
Total magnetic moment ... 0.000 μB per atom
E_form (uncorrected) ... 0.981 eV/f.u.



Record 3
VASP calculation (meta-GGA SCAN) on Mn2CoOsPb at its PBEsol-relaxed geometry.

a b c (Å): 4.6513 4.6513 5.0856
angles (deg): 90.00 90.00 90.00
Last column: nearest neighbours and their distance in Å.
Fractional coordinates of all 5 atoms:
Pb 0.0000 0.0000 0.5000  2 Os 2.54
Co 0.5000 0.5000 0.5000  4 Pb 3.29, 8 Mn 3.45
Mn 0.0000 0.5000 0.0000  2 Os 2.33
Mn 0.5000 0.0000 0.0000  2 Os 2.33
Os 0.0000 0.0000 0.0000  4 Mn 2.33, 2 Pb 2.54

Properties
N(E_F) ... 4.04 states/eV/f.u.
Total magnetic moment ... 2.137 μB per atom
Calculated formation energy ... 1.094 eV/atom



Record 4
VASP calculation (meta-GGA SCAN) on NaLi3 at its PBEsol-relaxed geometry.

a b c (Å): 4.5290 4.5290 5.6738
angles (deg): 113.52 113.52 90.00
Last column: nearest neighbours and their distance in Å.
Fractional coordinates of all 4 atoms:
Na 0.0000 0.0000 0.0000  12 Li 3.20-3.26
Li 0.2500 0.7500 0.5000  8 Li 3.20-3.26, 4 Na 3.26
Li 0.7500 0.2500 0.5000  8 Li 3.20-3.26, 4 Na 3.26
Li 0.5000 0.5000 0.0000  4 Na 3.20, 8 Li 3.26

Properties
N(E_F) ... 1.56 states/eV/f.u.
Total magnetic moment ... 0.002 μB per atom
ΔE to the lowest computed polymorph ... 4 meV per atom
Calculated formation energy ... 0.039 eV/atom



Record 5
VASP calculation (meta-GGA SCAN) on Mn3BiB at its PBEsol-relaxed geometry.

a b c (Å): 4.1322 4.1322 4.1322
angles (deg): 90.00 90.00 90.00
Last column: nearest neighbours and their distance in Å.
Fractional coordinates of all 5 atoms:
B 0.0000 0.0000 0.0000  6 Mn 2.07
Mn 0.0000 0.5000 0.0000  2 B 2.07
Mn 0.0000 0.0000 0.5000  2 B 2.07
Mn 0.5000 0.0000 0.0000  2 B 2.07
Bi 0.5000 0.5000 0.5000  12 Mn 2.92

Properties
N(E_F) ... 2.09 states/eV/f.u.
Total magnetic moment ... 2.079 μB per atom
Calculated formation energy ... -0.097 eV/atom



Record 6
VASP calculation (meta-GGA SCAN) on YMgP2 at its PBEsol-relaxed geometry.

a b c (Å): 3.7773 4.0252 5.4601
angles (deg): 97.90 110.24 90.00
Last column: nearest neighbours and their distance in Å.
Fractional coordinates of all 4 atoms:
Y 0.4984 0.3822 0.9968  7 P 2.74-2.95
P 0.9863 0.8699 0.9727  1 Mg 2.59, 1 P 2.66, 4 Y 2.74-2.79
P 0.7773 0.3905 0.5545  1 P 2.66, 4 Mg 2.74-2.84, 3 Y 2.85-2.95
Mg 0.2380 0.8575 0.4760  5 P 2.59-2.84

Properties
N(E_F) ... 1.18 states/eV/f.u.
Total magnetic moment ... 0.000 μB per atom
Calculated formation energy ... -0.916 eV/atom